# 1
The following is a DFT calculation (PBE) of a relaxed structure of Nd16Dy7Y6.

Cell: 11.3290 11.3290 11.3290 Å, 60.00 60.00 60.00°
Element x y z (fractional)
Nd (0.8757, 0.8757, 0.3730)
Nd (0.8757, 0.8757, 0.8757)
Nd (0.8757, 0.3730, 0.8757)
Nd (0.3730, 0.8757, 0.8757)
Nd (0.1243, 0.1243, 0.1243)
Nd (0.1243, 0.1243, 0.6270)
Nd (0.1243, 0.6270, 0.1243)
Nd (0.6270, 0.1243, 0.1243)
Nd (0.6507, 0.6507, 0.0479)
Nd (0.6507, 0.6507, 0.6507)
Nd (0.6507, 0.0479, 0.6507)
Nd (0.0479, 0.6507, 0.6507)
Nd (0.3493, 0.3493, 0.3493)
Nd (0.3493, 0.3493, 0.9521)
Nd (0.3493, 0.9521, 0.3493)
Nd (0.9521, 0.3493, 0.3493)
Dy (0.0000, 0.0000, 0.0000)
Dy (0.5000, 0.0000, 0.5000)
Dy (0.0000, 0.5000, 0.0000)
Dy (0.0000, 0.5000, 0.5000)
Dy (0.5000, 0.0000, 0.0000)
Dy (0.0000, 0.0000, 0.5000)
Dy (0.5000, 0.5000, 0.0000)
Y (0.2700, 0.7300, 0.2700)
Y (0.7300, 0.2700, 0.7300)
Y (0.7300, 0.2700, 0.2700)
Y (0.2700, 0.7300, 0.7300)
Y (0.7300, 0.7300, 0.2700)
Y (0.2700, 0.2700, 0.7300)

Its crystal system is cubic. For the electronic total energy, the calculation gives -141.5 eV for the cell shown.

# 2
The following is a DFT calculation (PBE) of a relaxed structure of NdDy2Y2.

Cell: 5.8366 6.8637 9.9647 Å, 98.33 72.97 64.84°
Element x y z (fractional)
Nd (0.2976, 0.2524, 0.1523)
Nd (0.7024, 0.7476, 0.8477)
Dy (0.1102, 0.2356, 0.5440)
Dy (0.8898, 0.7644, 0.4560)
Dy (0.4741, 0.2890, 0.7628)
Dy (0.5259, 0.7110, 0.2372)
Y (0.6871, 0.2582, 0.3677)
Y (0.3129, 0.7418, 0.6323)
Y (0.0720, 0.7828, 0.0732)
Y (0.9280, 0.2172, 0.9268)

Its crystal system is monoclinic. The value obtained for the polymorph energy (0 for the lowest one) is 3.15 kJ/mol of atoms. For the electronic total energy, the calculation gives -52.6 eV for the cell shown.

# 3
The following is a DFT calculation (PBE) of a relaxed structure of NdDyY3.

Cell: 5.0793 8.0193 8.0192 Å, 89.98 90.00 90.00°
Element x y z (fractional)
Nd (0.2500, 0.6496, 0.4511)
Nd (0.7500, 0.3504, 0.5489)
Dy (0.2500, 0.2488, 0.2491)
Dy (0.7500, 0.7512, 0.7509)
Y (0.7500, 0.5501, 0.1483)
Y (0.2500, 0.4499, 0.8517)
Y (0.7500, 0.1492, 0.9516)
Y (0.2500, 0.0501, 0.6504)
Y (0.2500, 0.8508, 0.0484)
Y (0.7500, 0.9499, 0.3496)

Its crystal system is monoclinic. The value obtained for the polymorph energy (0 for the lowest one) is 0.00 kJ/mol of atoms. For the electronic total energy, the calculation gives -57.3 eV for the cell shown.

# 4
The following is a DFT calculation (PBE) of a relaxed structure of NdDy4Y2.

Cell: 3.5321 9.4675 8.5637 Å, 121.49 78.11 111.89°
Element x y z (fractional)
Nd (0.0000, 0.0000, 0.0000)
Dy (0.4115, 0.7068, 0.5892)
Dy (0.8073, 0.1642, 0.7153)
Dy (0.5885, 0.2932, 0.4108)
Dy (0.1927, 0.8358, 0.2847)
Y (0.3599, 0.4305, 0.1415)
Y (0.6401, 0.5695, 0.8585)

Its crystal system is monoclinic. The value obtained for the polymorph energy (0 for the lowest one) is 0.00 kJ/mol of atoms. For the electronic total energy, the calculation gives -35.8 eV for the cell shown.

# 5
The following is a DFT calculation (PBE) of a relaxed structure of Nd12Dy7Y.

Cell: 8.8745 8.8745 8.8745 Å, 93.98 93.98 93.98°
Element x y z (fractional)
Nd (0.8222, 0.2507, 0.6878)
Nd (0.7493, 0.3122, 0.1778)
Nd (0.4825, 0.1483, 0.4141)
Nd (0.8517, 0.5859, 0.5175)
Nd (0.3122, 0.1778, 0.7493)
Nd (0.5859, 0.5175, 0.8517)
Nd (0.4141, 0.4825, 0.1483)
Nd (0.6878, 0.8222, 0.2507)
Nd (0.1483, 0.4141, 0.4825)
Nd (0.5175, 0.8517, 0.5859)
Nd (0.2507, 0.6878, 0.8222)
Nd (0.1778, 0.7493, 0.3122)
Dy (0.9127, 0.6492, 0.9741)
Dy (0.3508, 0.0259, 0.0873)
Dy (0.0259, 0.0873, 0.3508)
Dy (0.5000, 0.5000, 0.5000)
Dy (0.9741, 0.9127, 0.6492)
Dy (0.6492, 0.9741, 0.9127)
Dy (0.0873, 0.3508, 0.0259)
Y (0.0000, 0.0000, 0.0000)

Its crystal system is trigonal. The value obtained for the polymorph energy (0 for the lowest one) is 3.45 kJ/mol of atoms. For the electronic total energy, the calculation gives -90.5 eV for the cell shown.

# 6
The following is a DFT calculation (PBE) of a relaxed structure of Nd2Dy5Y.

Cell: 5.0602 7.1644 14.3280 Å, 90.00 90.00 90.00°
Element x y z (fractional)
Nd (0.5000, 0.2501, 0.6253)
Nd (0.5000, 0.7499, 0.3747)
Nd (0.5000, 0.2499, 0.1253)
Nd (0.5000, 0.7501, 0.8747)
Dy (0.0000, 0.0000, 0.0000)
Dy (0.0000, 0.5000, 0.5000)
Dy (0.0000, 0.4992, 0.7495)
Dy (0.0000, 0.5008, 0.2505)
Dy (0.0000, 0.0008, 0.2495)
Dy (0.0000, 0.9992, 0.7505)
Dy (0.5000, 0.2488, 0.8745)
Dy (0.5000, 0.7512, 0.1255)
Dy (0.5000, 0.2512, 0.3745)
Dy (0.5000, 0.7488, 0.6255)
Y (0.0000, 0.0000, 0.5000)
Y (0.0000, 0.5000, 0.0000)

Its crystal system is orthorhombic. The value obtained for the polymorph energy (0 for the lowest one) is 0.00 kJ/mol of atoms. For the electronic total energy, the calculation gives -77.7 eV for the cell shown.

# 7
The following is a DFT calculation (PBE) of a relaxed structure of NdDy9Y2.

Cell: 5.0350 5.0350 15.1055 Å, 90.00 90.00 90.00°
Element x y z (fractional)
Nd (0.0000, 0.0000, 0.0000)
Dy (0.5000, 0.5000, 0.0000)
Dy (0.5000, 0.5000, 0.3345)
Dy (0.5000, 0.5000, 0.6655)
Dy (0.5000, 0.0000, 0.1680)
Dy (0.5000, 0.0000, 0.5000)
Dy (0.5000, 0.0000, 0.8320)
Dy (0.0000, 0.5000, 0.1680)
Dy (0.0000, 0.5000, 0.5000)
Dy (0.0000, 0.5000, 0.8320)
Y (0.0000, 0.0000, 0.3340)
Y (0.0000, 0.0000, 0.6660)

Its crystal system is tetragonal. The value obtained for the polymorph energy (0 for the lowest one) is 0.00 kJ/mol of atoms. For the electronic total energy, the calculation gives -58.8 eV for the cell shown.

# 8
The following is a DFT calculation (PBE) of a relaxed structure of Nd5DyY3.

Cell: 6.3000 11.1156 11.7550 Å, 125.02 90.00 106.46°
Element x y z (fractional)
Nd (0.4086, 0.0000, 0.7500)
Nd (0.6359, 0.6415, 0.9758)
Nd (0.8152, 0.2784, 0.1195)
Nd (0.3641, 0.3585, 0.0242)
Nd (0.5368, 0.7216, 0.3805)
Nd (0.5914, 0.0000, 0.2500)
Nd (0.0056, 0.6415, 0.4758)
Nd (0.9944, 0.3585, 0.5242)
Nd (0.4632, 0.2784, 0.6195)
Nd (0.1848, 0.7216, 0.8805)
Dy (0.8962, 0.0000, 0.7500)
Dy (0.1038, 0.0000, 0.2500)
Y (0.0000, 0.0000, 0.0000)
Y (0.3999, 0.3517, 0.3236)
Y (0.0000, 0.0000, 0.5000)
Y (0.6001, 0.6483, 0.6764)
Y (0.9519, 0.3517, 0.8236)
Y (0.0481, 0.6483, 0.1764)

Its crystal system is monoclinic. The value obtained for the polymorph energy (0 for the lowest one) is 0.00 kJ/mol of atoms. For the electronic total energy, the calculation gives -90.8 eV for the cell shown.

Number 1: calculated formation energy 0.198 eV per atom. Number 2: calculated formation energy 0.116 eV per atom. Number 3: calculated formation energy 0.022 eV per atom. Number 4: calculated formation energy 0.039 eV per atom. Number 5: calculated formation energy 0.271 eV per atom. Number 6: calculated formation energy 0.019 eV per atom. Number 7: calculated formation energy 0.022 eV per atom. Number 8: calculated formation energy 0.272 eV per atom.